(1)
## KZr2Cl (SCAN)

Data for a PBEsol-optimized structure of KZr2Cl.

a b c (Å): 3.120 6.541 6.541
angles (deg): 63.00 76.20 76.20
Atoms (fractional coordinates):
Zr  0.774  0.726  0.726
Zr  0.050  0.950  0.950
K  0.209  0.291  0.291
Cl  0.467  0.533  0.533

Output
N(E_F)	1.29	states/eV per cell
SG	No. 44
energy above the lowest structure with this stoichiometry	2.25	eV per formula unit
size of the total moment	0.00	μB/f.u.
calculated total energy	-19.357	eV/atom

(2)
## KZr2Cl (SCAN)

Data for a PBEsol-optimized structure of KZr2Cl.

a b c (Å): 3.070 5.530 6.437
angles (deg): 90.00 90.00 90.00
Atoms (fractional coordinates):
Cl  0.500  0.500  0.500
Zr  0.000  0.755  0.000
Zr  0.000  0.245  0.000
K  0.500  0.000  0.500

Output
N(E_F)	2.67	states/eV per cell
SG	No. 47
energy above the lowest structure with this stoichiometry	3.43	eV per formula unit
size of the total moment	0.00	μB/f.u.
calculated total energy	-19.062	eV/atom